# CaRhI | the Alexandria database | PBE-GGA | relaxed
# size of the total moment = 0.00 μB per cell
# total DFT energy (no corrections) = -0.15222 hartree per atom
# calculated volume = 24.5 Å³/atom
data_CaRhI
_chemical_formula_sum 'Ca4 Rh4 I4'
_cell_length_a 8.213
_cell_length_b 4.223
_cell_length_c 8.483
_cell_angle_alpha 90.00
_cell_angle_beta 90.00
_cell_angle_gamma 90.00
_space_group_name_H-M_alt 'P n m a'
_space_group_IT_number 62
loop_
_space_group_symop_operation_xyz
'x,y,z'
'-x,-y,-z'
'-x+1/2,-y,z+1/2'
'x+1/2,y,-z+1/2'
'x+1/2,-y+1/2,-z+1/2'
'-x+1/2,y+1/2,z+1/2'
'-x,y+1/2,-z'
'x,-y+1/2,z'
loop_
_atom_site_label
_atom_site_fract_x
_atom_site_fract_y
_atom_site_fract_z
Ca1 0.019 0.250 0.213
Rh1 0.237 0.250 0.856
I1 0.222 0.250 0.551